[1]
Entry from Alexandria: an optimized crystal structure of LaRu2Au (PBE-GGA).

Cell lengths 3.0393, 3.0393, 8.5844 Å; angles 90.00, 90.00, 112.63 degrees
Fractional coordinates of all 4 atoms:
La 0.0000 0.0000 0.0000
Ru 0.5000 0.5000 0.2499
Ru 0.5000 0.5000 0.7501
Au 0.0000 0.0000 0.5000

Results
VASP energy	-24.80	eV/f.u.
crystal system	orthorhombic
energy above the most stable polymorph in this dataset	404	meV per atom

[2]
Entry from Alexandria: an optimized crystal structure of VGa4Ni5 (PBE-GGA).

Cell lengths 2.9106, 2.9106, 14.6483 Å; angles 90.00, 90.00, 90.00 degrees
Fractional coordinates of all 10 atoms:
V 0.0000 0.0000 0.0000
Ga 0.0000 0.0000 0.1997
Ga 0.0000 0.0000 0.4005
Ga 0.0000 0.0000 0.5995
Ga 0.0000 0.0000 0.8003
Ni 0.5000 0.5000 0.1008
Ni 0.5000 0.5000 0.3020
Ni 0.5000 0.5000 0.5000
Ni 0.5000 0.5000 0.6980
Ni 0.5000 0.5000 0.8992

Results
VASP energy	-53.20	eV/f.u.
crystal system	tetragonal

[3]
Entry from Alexandria: an optimized crystal structure of ScAgC (PBE-GGA).

Cell lengths 4.6967, 4.6967, 6.5742 Å; angles 90.00, 90.00, 140.79 degrees
Fractional coordinates of all 6 atoms:
Sc 0.0000 0.0000 0.0000
Sc 0.0000 0.0000 0.5000
Ag 0.2673 0.7327 0.7500
Ag 0.7327 0.2673 0.2500
C 0.4551 0.5449 0.2500
C 0.5449 0.4551 0.7500

Results
VASP energy	-17.77	eV/f.u.
crystal system	orthorhombic

[4]
Entry from Alexandria: an optimized crystal structure of ErZnPt (PBE-GGA).

Cell lengths 5.1232, 5.1232, 5.1232 Å; angles 139.07, 139.07, 59.27 degrees
Fractional coordinates of all 3 atoms:
Er 0.0000 0.0000 0.0000
Zn 0.6820 0.6820 0.0000
Pt 0.3370 0.3370 0.0000

Results
VASP energy	-14.33	eV/f.u.
crystal system	tetragonal